No. 1
3
Lattice="4.0551 0.0000 0.0000 -2.0275 3.5118 0.0000 0.0000 0.0000 4.0339" Properties=species:S:1:pos:R:3 comment="PBE-GGA ScGaGe, optimized geometry" total_energy_ev_per_atom=-5.129 ef_ev_per_atom=-0.47 pbc="T T T"
Sc 0.0000 0.0000 0.0000
Ga 0.0000 2.3412 1.5596
Ge 2.0275 1.1706 2.4377

---

No. 2
8
Lattice="-3.6855 3.6855 3.0831 3.6855 -3.6855 3.0831 3.6855 3.6855 -3.0831" Properties=species:S:1:pos:R:3 comment="PBE-GGA Sc2GaGe, optimized geometry" total_energy_ev_per_atom=-5.386 ef_ev_per_atom=-0.31 pbc="T T T"
Sc 5.5283 1.7911 -0.7708
Sc 1.7911 1.8428 0.7708
Sc -1.8428 1.8944 2.3123
Sc 1.8944 1.8428 3.8539
Ga 3.6855 0.0000 1.5416
Ga 0.0000 0.0000 3.0831
Ge 0.0000 0.0000 0.0000
Ge 0.0000 3.6855 1.5416

---

No. 3
20
Lattice="7.3723 -4.7489 0.0000 7.3723 4.7489 0.0000 -1.1214 0.0000 6.0949" Properties=species:S:1:pos:R:3 comment="PBE-GGA Sc3GaGe, optimized geometry" total_energy_ev_per_atom=-5.796 ef_ev_per_atom=-0.47 relative_energy_ev_per_atom=0.000 pbc="T T T"
Sc 2.4613 1.1689 0.2051
Sc 5.5282 2.7497 3.3648
Sc 1.9006 -1.1689 3.2526
Sc 7.5344 2.7497 5.7776
Sc 4.7875 0.3289 5.6254
Sc 5.3482 -0.3289 2.5780
Sc 8.2750 0.3289 3.5170
Sc 8.8357 -0.3289 0.4695
Sc 6.0889 -2.7497 0.3173
Sc 11.7226 1.1689 2.8423
Sc 8.0951 -2.7497 2.7301
Sc 11.1619 -1.1689 5.8898
Ga 7.0920 4.4859 1.5237
Ga 7.0920 1.7637 1.5237
Ga 6.5313 -1.7637 4.5712
Ga 6.5313 -4.4859 4.5712
Ge 3.1351 1.3121 3.8250
Ge 3.6958 -1.3121 0.7776
Ge 9.9275 1.3121 5.3173
Ge 10.4882 -1.3121 2.2699

---

No. 4
10
Lattice="6.7398 0.0000 0.0000 0.0000 6.7398 0.0000 0.0000 0.0000 4.1618" Properties=species:S:1:pos:R:3 comment="PBE-GGA Sc2Ga2Ge, optimized geometry" total_energy_ev_per_atom=-5.215 ef_ev_per_atom=-0.55 relative_energy_ev_per_atom=0.000 pbc="T T T"
Sc 1.1534 2.2165 0.0000
Sc 2.2165 5.5864 0.0000
Sc 4.5234 1.1534 0.0000
Sc 5.5864 4.5234 0.0000
Ga 0.8769 4.2468 2.0809
Ga 2.4930 0.8769 2.0809
Ga 4.2468 5.8630 2.0809
Ga 5.8630 2.4930 2.0809
Ge 0.0000 0.0000 2.0809
Ge 3.3699 3.3699 2.0809

---

No. 5
6
Lattice="0.0000 4.7925 4.3979 2.6792 0.0000 4.3979 2.6792 4.7925 0.0000" Properties=species:S:1:pos:R:3 comment="PBE-GGA ScGaGe, optimized geometry" total_energy_ev_per_atom=-5.051 ef_ev_per_atom=-0.39 pbc="T T T"
Sc 0.0000 0.0000 0.0000
Sc 1.3396 2.3962 2.1989
Ga 2.6792 4.7925 3.0168
Ga 4.0188 7.1887 5.2158
Ge 2.6792 4.7925 5.8486
Ge 4.0188 7.1887 8.0476

---

No. 6
4
Lattice="2.2174 1.2802 6.8798 -2.2174 1.2802 6.8798 0.0000 -2.5604 6.8798" Properties=species:S:1:pos:R:3 comment="PBE-GGA ScGaGe2, optimized geometry" total_energy_ev_per_atom=-4.405 ef_ev_per_atom=0.24 pbc="T T T"
Sc 0.0000 0.0000 0.0000
Ga 0.0000 0.0000 10.3197
Ge 0.0000 0.0000 7.8792
Ge 0.0000 0.0000 12.7602

---

No. 7
20
Lattice="6.5006 0.0000 0.0000 0.0000 9.0171 0.0000 0.0000 0.0000 6.9296" Properties=species:S:1:pos:R:3 comment="PBE-GGA Sc4Ga5Ge, optimized geometry" total_energy_ev_per_atom=-4.815 ef_ev_per_atom=-0.31 pbc="T T T"
Sc 0.0177 2.2543 1.3677
Sc 1.6252 5.0530 3.3562
Sc 1.6252 8.4728 3.3562
Sc 3.2326 2.2543 1.3677
Sc 3.2680 6.7629 5.5620
Sc 4.8755 0.5444 3.5734
Sc 4.8755 3.9642 3.5734
Sc 6.4829 6.7629 5.5620
Ga 0.3420 0.5802 5.7427
Ga 0.3420 3.9283 5.7427
Ga 1.6252 6.7629 0.9206
Ga 2.9083 0.5802 5.7427
Ga 2.9083 3.9283 5.7427
Ga 3.5923 5.0888 1.1870
Ga 3.5923 8.4369 1.1870
Ga 4.8755 2.2543 6.0090
Ga 6.1586 5.0888 1.1870
Ga 6.1586 8.4369 1.1870
Ge 1.6252 2.2543 3.6687
Ge 4.8755 6.7629 3.2610

---

No. 8
16
Lattice="-3.6154 3.6154 6.3034 3.6154 -3.6154 6.3034 3.6154 3.6154 -6.3034" Properties=species:S:1:pos:R:3 comment="PBE-GGA Sc5Ga2Ge, optimized geometry" total_energy_ev_per_atom=-5.893 ef_ev_per_atom=-0.60 pbc="T T T"
Sc 0.0000 0.0000 0.0000
Sc 4.7946 1.1792 -1.8843
Sc 1.1792 2.4362 -1.8843
Sc 4.7946 1.1792 1.8843
Sc 1.1792 2.4362 1.8843
Sc 0.0000 0.0000 6.3034
Sc 2.4362 1.1792 4.4192
Sc -1.1792 2.4362 4.4192
Sc 2.4362 1.1792 8.1877
Sc -1.1792 2.4362 8.1877
Ga 2.6693 0.9461 0.0000
Ga 2.6693 -0.9461 6.3034
Ga 0.9461 4.5615 0.0000
Ga 0.9461 2.6693 6.3034
Ge 0.0000 0.0000 3.1517
Ge 0.0000 0.0000 9.4552